DFT (GGA-PBEsol) results for a relaxed KMg2ZnAg crystal.

Unit cell a=5.1094 b=5.1094 c=5.0591 alpha=90.00 beta=90.00 gamma=90.00
With the nearest neighbours (Å) after each atom.
Space group P4/mmm (No. 123)
Asymmetric unit:
K 0.0000 0.0000 0.0000 (multiplicity 1)  8 Mg 3.60, 4 Ag 3.61
Mg 0.0000 0.5000 0.5000 (multiplicity 2)  2 Zn 2.55
Zn 0.5000 0.5000 0.5000 (multiplicity 1)  2 Ag 2.53, 4 Mg 2.55
Ag 0.5000 0.5000 0.0000 (multiplicity 1)  2 Zn 2.53

Values from the calculation:
The total DFT energy (no corrections) comes out at -1.723 eV/atom. Its density of states at the Fermi level is 1.8 states/eV per cell. Its formation energy from the elements is 0.170 eV per atom.